DFT (GGA-PBE) results for a geometry-optimized Ba2LiSn structure.

formation energy from the elements = -0.345 eV/atom
VASP energy = -11.1 eV/cell

```
data_Ba2LiSn
_chemical_formula_sum 'Ba2 Li1 Sn1'
_symmetry_space_group_name_H-M 'P 4/m m m'
_symmetry_Int_Tables_number 123
_symmetry_space_group_name_Hall '-P 4 2'
_cell_length_a 6.085
_cell_length_b 6.085
_cell_length_c 4.235
_cell_angle_alpha 90.00
_cell_angle_beta 90.00
_cell_angle_gamma 90.00
loop_
_atom_site_label
_atom_site_type_symbol
_atom_site_fract_x
_atom_site_fract_y
_atom_site_fract_z
Ba1 Ba 0.000 0.500 0.000
Li1 Li 0.000 0.000 0.500
Sn1 Sn 0.500 0.500 0.500
```

=====

DFT (GGA-PBE) results for a geometry-optimized SrCdPd structure.

formation energy from the elements = -0.439 eV/atom
VASP energy = -36.4 eV/cell

```
data_SrCdPd
_chemical_formula_sum 'Sr4 Cd4 Pd4'
_symmetry_space_group_name_H-M 'F -4 3 m'
_symmetry_Int_Tables_number 216
_symmetry_space_group_name_Hall 'F -4 2 3'
_cell_length_a 6.989
_cell_length_b 6.989
_cell_length_c 6.989
_cell_angle_alpha 90.00
_cell_angle_beta 90.00
_cell_angle_gamma 90.00
loop_
_atom_site_label
_atom_site_type_symbol
_atom_site_fract_x
_atom_site_fract_y
_atom_site_fract_z
Sr1 Sr 0.000 0.000 0.000
Cd1 Cd 0.000 0.000 0.500
Pd1 Pd 0.250 0.250 0.250
```

=====

DFT (GGA-PBE) results for a geometry-optimized BaP2Cl structure.

ΔE to the lowest computed polymorph = 735 meV per atom
VASP energy = -62.4 eV/cell

```
data_BaP2Cl
_chemical_formula_sum 'Ba4 P8 Cl4'
_symmetry_space_group_name_H-M 'F -4 3 m'
_symmetry_Int_Tables_number 216
_symmetry_space_group_name_Hall 'F -4 2 3'
_cell_length_a 7.358
_cell_length_b 7.358
_cell_length_c 7.358
_cell_angle_alpha 90.00
_cell_angle_beta 90.00
_cell_angle_gamma 90.00
loop_
_atom_site_label
_atom_site_type_symbol
_atom_site_fract_x
_atom_site_fract_y
_atom_site_fract_z
Ba1 Ba 0.000 0.000 0.000
P1 P 0.000 0.000 0.500
P2 P 0.250 0.250 0.750
Cl1 Cl 0.250 0.250 0.250
```

=====

DFT (GGA-PBE) results for a geometry-optimized Sr2PbW structure.

formation energy from the elements = 0.774 eV/atom
VASP energy = -16.9 eV/cell

```
data_Sr2PbW
_chemical_formula_sum 'Sr2 Pb1 W1'
_symmetry_space_group_name_H-M 'P 1 2/m 1'
_symmetry_Int_Tables_number 10
_symmetry_space_group_name_Hall '-P 2y'
_cell_length_a 3.264
_cell_length_b 4.933
_cell_length_c 7.105
_cell_angle_alpha 90.00
_cell_angle_beta 90.08
_cell_angle_gamma 90.00
loop_
_atom_site_label
_atom_site_type_symbol
_atom_site_fract_x
_atom_site_fract_y
_atom_site_fract_z
Sr1 Sr 0.000 0.000 0.241
Pb1 Pb 0.500 0.500 0.500
W1 W 0.500 0.500 0.000
```

=====

Which of these has the highest VASP energy?
Ba2LiSn

=====

Which of these has the highest VASP energy?
Ba2LiSn

=====

The highest VASP energy belongs to which entry?
Ba2LiSn